The following is a DFT calculation (GGA-PBEsol) of a relaxed CdPbI2N crystal.

Lattice parameters (Å, degrees): 4.2103 6.1539 6.1539 90.00 90.00 90.00
Each line ends with the local moment (μB).
Sites, in units of the cell vectors:
Pb 0.0000 0.0000 0.0000  -0.01
I 0.0000 0.0000 0.5000  0.05
I 0.0000 0.5000 0.0000  0.05
N 0.5000 0.0000 0.0000  0.51
Cd 0.5000 0.5000 0.5000  0.01

Output
uncorrected energy	-2.73	eV/atom
space group	P4/mmm
ΔE to the lowest computed polymorph	192.4	meV per atom

The following is a DFT calculation (GGA-PBEsol) of a relaxed RbCdIN2 crystal.

Lattice parameters (Å, degrees): 5.3185 5.3185 7.0523 90.00 90.00 90.00
Each line ends with the local moment (μB).
Sites, in units of the cell vectors:
I 0.0000 0.0000 0.5000  0.01
N 0.0000 0.5000 0.0000  1.68
N 0.5000 0.0000 0.0000  1.68
Rb 0.0000 0.0000 0.0000  0.08
Cd 0.5000 0.5000 0.5000  0.01

Output
uncorrected energy	-2.40	eV/atom
space group	P4/mmm

The following is a DFT calculation (GGA-PBEsol) of a relaxed ScCdI2N crystal.

Lattice parameters (Å, degrees): 3.8807 5.8299 5.8299 90.00 90.00 90.00
Sites, in units of the cell vectors:
I 0.0000 0.0000 0.5000
I 0.0000 0.5000 0.0000
Sc 0.0000 0.0000 0.0000
N 0.5000 0.0000 0.0000
Cd 0.5000 0.5000 0.5000

Output
uncorrected energy	-4.15	eV/atom
space group	P4/mmm

The following is a DFT calculation (GGA-PBEsol) of a relaxed CdSeIN2 crystal.

Lattice parameters (Å, degrees): 4.3006 4.3006 5.8744 90.00 90.00 90.00
Each line ends with the local moment (μB).
Sites, in units of the cell vectors:
I 0.5000 0.5000 0.5000  0.10
N 0.0000 0.5000 0.0000  1.28
N 0.5000 0.0000 0.0000  1.28
Se 0.0000 0.0000 0.5000  0.12
Cd 0.0000 0.0000 0.0000  0.08

Output
uncorrected energy	-3.17	eV/atom
space group	P4/mmm

The following is a DFT calculation (GGA-PBEsol) of a relaxed CdSnI2N crystal.

Lattice parameters (Å, degrees): 3.8658 6.0070 6.0070 90.00 90.00 90.00
Sites, in units of the cell vectors:
I 0.0000 0.0000 0.5000
I 0.0000 0.5000 0.0000
N 0.5000 0.0000 0.0000
Sn 0.0000 0.0000 0.0000
Cd 0.5000 0.5000 0.5000

Output
uncorrected energy	-3.04	eV/atom
space group	P4/mmm
ΔE to the lowest computed polymorph	0.0	meV per atom

The following is a DFT calculation (GGA-PBEsol) of a relaxed CdSnI2N crystal.

Lattice parameters (Å, degrees): 4.0940 5.9703 5.9703 90.00 90.00 90.00
Each line ends with the local moment (μB).
Sites, in units of the cell vectors:
I 0.0000 0.0000 0.5000  0.05
I 0.0000 0.5000 0.0000  0.05
N 0.5000 0.0000 0.0000  0.97
Sn 0.5000 0.5000 0.5000  -0.05
Cd 0.0000 0.0000 0.0000  0.02

Output
uncorrected energy	-2.88	eV/atom
space group	P4/mmm
ΔE to the lowest computed polymorph	158.4	meV per atom

The following is a DFT calculation (GGA-PBEsol) of a relaxed TaCdI2N crystal.

Lattice parameters (Å, degrees): 3.9110 5.6417 5.6417 90.00 90.00 90.00
Sites, in units of the cell vectors:
I 0.0000 0.0000 0.5000
I 0.0000 0.5000 0.0000
N 0.5000 0.0000 0.0000
Cd 0.5000 0.5000 0.5000
Ta 0.0000 0.0000 0.0000

Output
uncorrected energy	-5.14	eV/atom
space group	P4/mmm

The following is a DFT calculation (GGA-PBEsol) of a relaxed CdTcI2N crystal.

Lattice parameters (Å, degrees): 3.7281 5.5222 5.5222 90.00 90.00 90.00
Sites, in units of the cell vectors:
I 0.0000 0.0000 0.5000
I 0.0000 0.5000 0.0000
N 0.5000 0.0000 0.0000
Tc 0.0000 0.0000 0.0000
Cd 0.5000 0.5000 0.5000

Output
uncorrected energy	-4.69	eV/atom
space group	P4/mmm

What did we get for energy relative to the elements, uncorrected? Answer: 0.718, 1.805, -0.182, 1.607, 0.461, 0.620, 0.023, 0.217 eV per atom, in the order shown.